No. 1
# PBE-GGA SbO2, relaxed
data_SbO2
_cell_length_a 5.8217
_cell_length_b 7.4820
_cell_length_c 8.7975
_cell_angle_alpha 81.87
_cell_angle_beta 75.99
_cell_angle_gamma 89.42
_space_group_name_H-M_alt 'P -1'
_space_group_IT_number 2
loop_
_space_group_symop_operation_xyz
'x,y,z'
'-x,-y,-z'
loop_
_atom_site_label
_atom_site_fract_x
_atom_site_fract_y
_atom_site_fract_z
Sb1 0.0061 0.4229 0.3218
Sb2 0.1146 0.9253 0.1308
Sb3 0.4097 0.2234 0.6803
Sb4 0.4488 0.7717 0.7849
O1 0.0166 0.2953 0.7072
O2 0.1222 0.1527 0.9843
O3 0.1944 0.5878 0.8272
O4 0.2201 0.9811 0.7242
O5 0.3130 0.4052 0.1744
O6 0.3136 0.0035 0.2707
O7 0.3843 0.8071 0.0102
O8 0.4694 0.2557 0.4462
# uncorrected formation energy	-1247	meV per atom
# E	-5.926	eV per atom



No. 2
# PBE-GGA Sb2O3, relaxed
data_Sb2O3
_cell_length_a 3.3583
_cell_length_b 13.2350
_cell_length_c 16.3476
_cell_angle_alpha 90.00
_cell_angle_beta 90.00
_cell_angle_gamma 90.00
_space_group_name_H-M_alt 'C m c m'
_space_group_IT_number 63
_space_group_name_Hall '-C 2c 2'
loop_
_atom_site_label
_atom_site_fract_x
_atom_site_fract_y
_atom_site_fract_z
Sb1 0.0000 0.0928 0.1307
Sb2 0.0000 0.3723 0.0594
O1 0.0000 0.0000 0.0000
O2 0.0000 0.1078 0.2500
O3 0.0000 0.1735 0.6218
O4 0.0000 0.4976 0.1387
# uncorrected formation energy	-1074	meV per atom
# E	-5.698	eV per atom



No. 3
# PBE-GGA SbO3, relaxed
data_SbO3
_cell_length_a 5.0191
_cell_length_b 5.0191
_cell_length_c 4.5374
_cell_angle_alpha 90.00
_cell_angle_beta 90.00
_cell_angle_gamma 120.00
_space_group_name_H-M_alt 'P 63 2 2'
_space_group_IT_number 182
_space_group_name_Hall 'P 6c 2c'
loop_
_atom_site_label
_atom_site_fract_x
_atom_site_fract_y
_atom_site_fract_z
Sb1 0.3333 0.6667 0.2500
O1 0.0000 0.3406 0.0000
# uncorrected formation energy	-788	meV per atom
# E	-5.538	eV per atom
# distance to the lowest polymorph of the same formula	0.46	kcal/mol of atoms



uncorrected formation energy of number 2 (Sb2O3)? -1074 meV per atom